Record 1
This record from OQMD describes an optimized crystal structure of Tb3S3N. The functional is GGA-PBE.

Structure (CIF):
```
data_Tb3S3N
_chemical_formula_sum 'Tb12 S12 N4'
_cell_length_a 11.975
_cell_length_b 3.851
_cell_length_c 12.901
_cell_angle_alpha 90.00
_cell_angle_beta 90.00
_cell_angle_gamma 90.00
_space_group_name_H-M_alt 'P 1'
_space_group_IT_number 1
_space_group_name_Hall 'P 1'
loop_
_atom_site_label
_atom_site_type_symbol
_atom_site_fract_x
_atom_site_fract_y
_atom_site_fract_z
S1 S 0.866 0.250 0.008
S2 S 0.091 0.250 0.399
S3 S 0.634 0.750 0.508
S4 S 0.774 0.250 0.307
S5 S 0.226 0.750 0.693
S6 S 0.726 0.750 0.807
S7 S 0.909 0.750 0.601
S8 S 0.591 0.250 0.101
S9 S 0.409 0.750 0.899
S10 S 0.366 0.250 0.492
S11 S 0.134 0.750 0.992
S12 S 0.274 0.250 0.193
N1 N 0.037 0.250 0.799
N2 N 0.463 0.750 0.299
N3 N 0.963 0.750 0.201
N4 N 0.537 0.250 0.701
Tb1 Tb 0.786 0.750 0.139
Tb2 Tb 0.214 0.250 0.861
Tb3 Tb 0.286 0.750 0.361
Tb4 Tb 0.069 0.250 0.632
Tb5 Tb 0.954 0.750 0.857
Tb6 Tb 0.569 0.250 0.868
Tb7 Tb 0.546 0.250 0.357
Tb8 Tb 0.931 0.750 0.368
Tb9 Tb 0.431 0.750 0.132
Tb10 Tb 0.454 0.750 0.643
Tb11 Tb 0.714 0.250 0.639
Tb12 Tb 0.046 0.250 0.143
```

Results
Total magnetization in Bohr magnetons per cell: 0.007
Calculated volume in A^3/atom: 21.2
E in eV/atom: -6.93

---

Record 2
This record from OQMD describes an optimized crystal structure of Tb3S2N. The functional is GGA-PBE.

Structure (CIF):
```
data_Tb3S2N
_chemical_formula_sum 'Tb3 S2 N1'
_cell_length_a 3.717
_cell_length_b 3.717
_cell_length_c 9.557
_cell_angle_alpha 90.00
_cell_angle_beta 90.00
_cell_angle_gamma 120.00
_space_group_name_H-M_alt 'P 1'
_space_group_IT_number 1
_space_group_name_Hall 'P 1'
loop_
_atom_site_label
_atom_site_type_symbol
_atom_site_fract_x
_atom_site_fract_y
_atom_site_fract_z
Tb1 Tb 0.000 0.000 0.500
Tb2 Tb 0.333 0.667 0.864
Tb3 Tb 0.667 0.333 0.136
S1 S 0.333 0.667 0.321
S2 S 0.667 0.333 0.679
N1 N 0.000 0.000 0.000
```

Results
Total magnetization in Bohr magnetons per cell: 0.002
Calculated volume in A^3/atom: 19.1
E in eV/atom: -6.96

---

Record 3
This record from OQMD describes an optimized crystal structure of Tb4S3N. The functional is GGA-PBE.

Structure (CIF):
```
data_Tb4S3N
_chemical_formula_sum 'Tb4 S3 N1'
_cell_length_a 6.636
_cell_length_b 6.636
_cell_length_c 6.636
_cell_angle_alpha 131.68
_cell_angle_beta 131.68
_cell_angle_gamma 70.74
_space_group_name_H-M_alt 'P 1'
_space_group_IT_number 1
_space_group_name_Hall 'P 1'
loop_
_atom_site_label
_atom_site_type_symbol
_atom_site_fract_x
_atom_site_fract_y
_atom_site_fract_z
Tb1 Tb 0.219 0.219 0.000
Tb2 Tb 0.781 0.781 0.000
Tb3 Tb 0.000 0.500 0.500
Tb4 Tb 0.500 0.000 0.500
S1 S 0.500 0.500 0.000
S2 S 0.750 0.250 0.500
S3 S 0.250 0.750 0.500
N1 N 0.000 0.000 0.000
```

Results
Total magnetization in Bohr magnetons per cell: 0.007
Calculated volume in A^3/atom: 20.0
E in eV/atom: -6.75

---

Record 4
This record from OQMD describes an optimized crystal structure of TlW4SN2. The functional is GGA-PBE.

Structure (CIF):
```
data_TlW4SN2
_chemical_formula_sum 'Tl1 W4 S1 N2'
_cell_length_a 2.932
_cell_length_b 2.932
_cell_length_c 14.457
_cell_angle_alpha 90.00
_cell_angle_beta 90.00
_cell_angle_gamma 120.00
_space_group_name_H-M_alt 'P 1'
_space_group_IT_number 1
_space_group_name_Hall 'P 1'
loop_
_atom_site_label
_atom_site_type_symbol
_atom_site_fract_x
_atom_site_fract_y
_atom_site_fract_z
N1 N 0.333 0.667 0.769
N2 N 0.333 0.667 0.231
S1 S 0.000 0.000 0.000
W1 W 0.667 0.333 0.129
W2 W 0.000 0.000 0.326
W3 W 0.000 0.000 0.674
W4 W 0.667 0.333 0.871
Tl1 Tl 0.667 0.333 0.500
```

Results
Total magnetization in Bohr magnetons per cell: 0.041
Calculated volume in A^3/atom: 13.5
E in eV/atom: -8.97

---

Record 5
This record from OQMD describes an optimized crystal structure of Zr4TlSN2. The functional is GGA-PBE.

Structure (CIF):
```
data_Zr4TlSN2
_chemical_formula_sum 'Zr4 Tl1 S1 N2'
_cell_length_a 3.366
_cell_length_b 3.366
_cell_length_c 13.407
_cell_angle_alpha 90.00
_cell_angle_beta 90.00
_cell_angle_gamma 120.00
_space_group_name_H-M_alt 'P 1'
_space_group_IT_number 1
_space_group_name_Hall 'P 1'
loop_
_atom_site_label
_atom_site_type_symbol
_atom_site_fract_x
_atom_site_fract_y
_atom_site_fract_z
N1 N 0.667 0.333 0.229
N2 N 0.667 0.333 0.771
Zr1 Zr 0.333 0.667 0.135
Zr2 Zr 0.000 0.000 0.685
Zr3 Zr 0.333 0.667 0.865
Zr4 Zr 0.000 0.000 0.315
S1 S 0.000 0.000 0.000
Tl1 Tl 0.333 0.667 0.500
```

Results
Total magnetization in Bohr magnetons per cell: 0.004
Calculated volume in A^3/atom: 16.4
E in eV/atom: -8.46

---

Record 6
This record from OQMD describes an optimized crystal structure of Tm4S3N. The functional is GGA-PBE.

Structure (CIF):
```
data_Tm4S3N
_chemical_formula_sum 'Tm4 S3 N1'
_cell_length_a 6.483
_cell_length_b 6.483
_cell_length_c 6.483
_cell_angle_alpha 131.67
_cell_angle_beta 131.67
_cell_angle_gamma 70.75
_space_group_name_H-M_alt 'P 1'
_space_group_IT_number 1
_space_group_name_Hall 'P 1'
loop_
_atom_site_label
_atom_site_type_symbol
_atom_site_fract_x
_atom_site_fract_y
_atom_site_fract_z
N1 N 0.000 0.000 0.000
Tm1 Tm 0.500 0.000 0.500
Tm2 Tm 0.218 0.218 0.000
Tm3 Tm 0.000 0.500 0.500
Tm4 Tm 0.782 0.782 0.000
S1 S 0.750 0.250 0.500
S2 S 0.500 0.500 0.000
S3 S 0.250 0.750 0.500
```

Results
Total magnetization in Bohr magnetons per cell: 0.002
Calculated volume in A^3/atom: 18.6
E in eV/atom: -6.63

---

Record 7
This record from OQMD describes an optimized crystal structure of USN. The functional is GGA-PBE.

Structure (CIF):
```
data_USN
_chemical_formula_sum 'U2 S2 N2'
_cell_length_a 3.744
_cell_length_b 3.744
_cell_length_c 6.655
_cell_angle_alpha 90.00
_cell_angle_beta 90.01
_cell_angle_gamma 90.00
_space_group_name_H-M_alt 'P 1'
_space_group_IT_number 1
_space_group_name_Hall 'P 1'
loop_
_atom_site_label
_atom_site_type_symbol
_atom_site_fract_x
_atom_site_fract_y
_atom_site_fract_z
N1 N 0.750 0.250 0.000
N2 N 0.250 0.750 0.000
S1 S 0.250 0.250 0.632
S2 S 0.750 0.750 0.368
U1 U 0.750 0.750 0.814
U2 U 0.250 0.250 0.186
```

Results
Total magnetization in Bohr magnetons per cell: 1.957
Calculated volume in A^3/atom: 15.5
E in eV/atom: -9.39

---

Record 8
This record from OQMD describes an optimized crystal structure of W4SN3. The functional is GGA-PBE.

Structure (CIF):
```
data_W4SN3
_chemical_formula_sum 'W8 S2 N6'
_cell_length_a 3.115
_cell_length_b 3.115
_cell_length_c 21.771
_cell_angle_alpha 90.00
_cell_angle_beta 90.00
_cell_angle_gamma 120.00
_space_group_name_H-M_alt 'P 1'
_space_group_IT_number 1
_space_group_name_Hall 'P 1'
loop_
_atom_site_label
_atom_site_type_symbol
_atom_site_fract_x
_atom_site_fract_y
_atom_site_fract_z
W1 W 0.000 0.000 0.169
W2 W 0.333 0.667 0.050
W3 W 0.333 0.667 0.450
W4 W 0.667 0.333 0.950
W5 W 0.667 0.333 0.550
W6 W 0.000 0.000 0.669
W7 W 0.000 0.000 0.831
W8 W 0.000 0.000 0.331
N1 N 0.667 0.333 0.109
N2 N 0.000 0.000 0.000
N3 N 0.333 0.667 0.609
N4 N 0.000 0.000 0.500
N5 N 0.333 0.667 0.891
N6 N 0.667 0.333 0.391
S1 S 0.667 0.333 0.750
S2 S 0.333 0.667 0.250
```

Results
Total magnetization in Bohr magnetons per cell: 0.003
Calculated volume in A^3/atom: 11.4
E in eV/atom: -9.81

---

Record 9
This record from OQMD describes an optimized crystal structure of Y2W4S3N3. The functional is GGA-PBE.

Structure (CIF):
```
data_Y2W4S3N3
_chemical_formula_sum 'Y4 W8 S6 N6'
_cell_length_a 5.631
_cell_length_b 5.631
_cell_length_c 13.423
_cell_angle_alpha 91.80
_cell_angle_beta 91.80
_cell_angle_gamma 63.09
_space_group_name_H-M_alt 'P 1'
_space_group_IT_number 1
_space_group_name_Hall 'P 1'
loop_
_atom_site_label
_atom_site_type_symbol
_atom_site_fract_x
_atom_site_fract_y
_atom_site_fract_z
N1 N 0.807 0.332 0.494
N2 N 0.500 0.000 0.500
N3 N 0.332 0.807 0.994
N4 N 0.668 0.193 0.006
N5 N 0.193 0.668 0.506
N6 N 0.000 0.500 0.000
Y1 Y 0.504 0.681 0.624
Y2 Y 0.681 0.504 0.124
Y3 Y 0.496 0.319 0.376
Y4 Y 0.319 0.496 0.876
W1 W 0.010 0.870 0.088
W2 W 0.843 0.699 0.447
W3 W 0.699 0.843 0.947
W4 W 0.990 0.130 0.912
W5 W 0.130 0.990 0.412
W6 W 0.301 0.157 0.053
W7 W 0.870 0.010 0.588
W8 W 0.157 0.301 0.553
S1 S 0.095 0.905 0.750
S2 S 0.525 0.786 0.305
S3 S 0.475 0.214 0.695
S4 S 0.786 0.525 0.805
S5 S 0.905 0.095 0.250
S6 S 0.214 0.475 0.195
```

Results
Total magnetization in Bohr magnetons per cell: 0.016
Calculated volume in A^3/atom: 15.8
E in eV/atom: -9.14